# YCrTeS2

A relaxed YCrTeS2 crystal (GGA-PBE, Alexandria).

a b c (Å): 5.2125 4.9546 5.2125
angles (deg): 90.00 90.00 90.00
Fractional coordinates of all 5 atoms:
S1 0.5000 0.0000 0.0000
S2 0.0000 0.0000 0.5000
Cr1 0.0000 0.5000 0.0000
Y1 0.5000 0.5000 0.5000
Te1 0.0000 0.0000 0.0000

Summary:
**DOS at the Fermi energy**: 4.2 states/eV per cell
**Formation energy (no corrections)**: 0.36 eV/atom